DFT (PBE-GGA) results for an optimized crystal structure of SmZrPt.

Energy above the lowest structure with this stoichiometry in meV/atom: 181
E_tot in eV per atom: -7.062
Symmetry: I4mm
Volume in Å³/cell: 69.86

Cell and atoms, written as CIF:
```
data_SmZrPt
_chemical_formula_sum 'Sm1 Zr1 Pt1'
_cell_length_a 6.251
_cell_length_b 6.251
_cell_length_c 6.251
_cell_angle_alpha 147.61
_cell_angle_beta 147.61
_cell_angle_gamma 46.47
_space_group_name_H-M_alt 'P 1'
_space_group_IT_number 1
_space_group_name_Hall 'P 1'
loop_
_atom_site_label
_atom_site_type_symbol
_atom_site_fract_x
_atom_site_fract_y
_atom_site_fract_z
_atom_site_occupancy
Sm1 Sm 0.000 0.000 0.000 1
Zr1 Zr 0.704 0.704 0.000 1
Pt1 Pt 0.323 0.323 0.000 1
```